A geometry-optimized Cu2SnIrI structure. Source: Alexandria via LeMat-Bulk, functional PBE-GGA.

Geometry as extended XYZ:
```
5
Lattice="4.8397 0.0000 0.0000 0.0000 4.8397 0.0000 0.0000 0.0000 5.0456" Properties=species:S:1:pos:R:3 pbc="T T T"
Cu 0.0000 2.4199 0.0000
Cu 2.4199 0.0000 0.0000
Sn 0.0000 0.0000 2.5228
Ir 2.4199 2.4199 2.5228
I 2.4199 2.4199 0.0000
```

The total energy is -0.247 Ry/atom. The size of the total moment is 0.00 μB/f.u.